Here is NpUNiO6 after structural relaxation from Alexandria. Energies are from PBE with a Hubbard U.

Cell lengths 5.334, 5.334, 9.822 Å; angles 90.00, 90.00, 120.00 degrees
Positions (direct):
Np: 0.000 0.000 0.000
Np: 0.000 0.000 0.500
U: 0.333 0.667 0.250
U: 0.667 0.333 0.750
Ni: 0.333 0.667 0.750
Ni: 0.667 0.333 0.250
O: 0.003 0.337 0.633
O: 0.003 0.665 0.867
O: 0.335 0.337 0.867
O: 0.335 0.997 0.633
O: 0.337 0.003 0.133
O: 0.337 0.335 0.367
O: 0.663 0.665 0.633
O: 0.663 0.997 0.867
O: 0.665 0.003 0.367
O: 0.665 0.663 0.133
O: 0.997 0.335 0.133
O: 0.997 0.663 0.367

Output
N(E_F)   25.18 states/eV/cell
Density   8.64 g/cm3
E   -8.876 eV/atom